Entry from Alexandria: an optimized crystal structure of CaNb2Te4Cl10O (GGA-PBE).

Properties
Uncorrected formation energy, eV per atom: -1.180
Magnetization, Bohr magnetons per cell: 1.2
Distance to the lowest polymorph of the same formula, eV per formula unit: 0.35

a = 7.3196 Å, b = 9.0135 Å, c = 9.5538 Å
α = 96.36°, β = 91.77°, γ = 102.93°
With the nearest neighbours (Å) after each atom.
Space group P1 (No. 1)
Inequivalent atoms, fractional coordinates:
Ca  0.0000  0.0000  0.0000  4 Cl 2.67-2.74
Nb  0.1299  0.3037  0.3453  1 O 1.97
Nb  0.1566  0.0134  0.6044  1 O 1.86
Te  0.4517  0.5510  0.8340  2 Te 2.77-2.78
Te  0.5390  0.8172  0.0218  2 Te 2.77-2.83
Te  0.7557  0.4600  0.9495  2 Te 2.77-2.78
Te  0.8086  0.6995  0.1654  2 Te 2.77-2.83
Cl  0.1103  0.4668  0.1597  1 Nb 2.45
Cl  0.1749  0.8419  0.8138  1 Nb 2.68, 1 Ca 2.69
Cl  0.2945  0.1495  0.1723  1 Nb 2.55, 1 Ca 2.68
Cl  0.3185  0.8607  0.4706  1 Nb 2.32
Cl  0.4196  0.4505  0.4314  1 Nb 2.31
Cl  0.4384  0.1761  0.7195  1 Nb 2.40
Cl  0.8362  0.1222  0.2255  1 Nb 2.54, 1 Ca 2.74
Cl  0.8600  0.8487  0.5464  1 Nb 2.35
Cl  0.9416  0.4248  0.4860  1 Nb 2.32
Cl  0.9861  0.1607  0.7835  1 Nb 2.57, 1 Ca 2.67
O  0.1358  0.1490  0.4742  2 Nb 1.86-1.97

---

Entry from Alexandria: an optimized crystal structure of Pm2AsBr (GGA-PBE).

Properties
Uncorrected formation energy, eV per atom: -1.112
Magnetization, Bohr magnetons per cell: 0.0
Distance to the lowest polymorph of the same formula, eV per formula unit: 1.17

a = 5.1473 Å, b = 5.1473 Å, c = 3.7305 Å
α = 90.00°, β = 90.00°, γ = 90.00°
With the nearest neighbours (Å) after each atom.
Space group P4/mmm (No. 123)
Inequivalent atoms, fractional coordinates:
Pm  0.0000  0.5000  0.0000  4 Br 3.18, 4 As 3.18
As  0.0000  0.0000  0.5000  8 Pm 3.18
Br  0.5000  0.5000  0.5000  8 Pm 3.18